Material: TaTl2W
Method: DFT, PBEsol
State: optimized geometry

Summary:
- Crystal system: tetragonal
- ΔE to the lowest computed polymorph: 429 meV/atom
- Magnetization: 0.0001 μB/atom
- E_form: 0.9277 eV/atom

a b c (Å): 4.131 4.131 4.501
angles (deg): 90.00 90.00 90.00
Element x y z (fractional)
Ta1 0.000 0.000 0.500
Tl1 0.000 0.500 0.000
Tl2 0.500 0.000 0.000
W1 0.500 0.500 0.500